[1]
Here is a crystal of ScTlZn2 relaxed with PBEsol from Alexandria. Energies are from meta-GGA SCAN.

Cell: 3.1251 4.4430 5.5184 Å, 90.00 90.00 90.00°
With the nearest neighbours (Å) after each atom.
Fractional coordinates of all 4 atoms:
Sc (0.0000, 0.0000, 0.0000)  8 Zn 2.98, 2 Sc 3.13, 4 Tl 3.17
Tl (0.5000, 0.0000, 0.5000)  4 Zn 2.70
Zn (0.5000, 0.5000, 0.2204)  1 Zn 2.43, 2 Tl 2.70
Zn (0.5000, 0.5000, 0.7796)  1 Zn 2.43, 2 Tl 2.70

- Space-group type: Pmmm (47)
- Density: 8.24 g/cm3
- Relative energy among the computed polymorphs: 0.000 eV per atom
- Total DFT energy (no corrections): -114.39 eV per cell

[2]
Here is a crystal of Na2Sb2Au relaxed with PBEsol from Alexandria. Energies are from meta-GGA SCAN.

Cell: 8.8877 8.8877 3.0284 Å, 90.00 90.00 90.00°
With the nearest neighbours (Å) after each atom.
Fractional coordinates of all 10 atoms:
Na (0.1133, 0.3867, 0.0000)  3 Na 2.85-3.03, 6 Sb 2.92-3.15
Na (0.3867, 0.8867, 0.0000)  3 Na 2.85-3.03, 6 Sb 2.92-3.15
Na (0.6133, 0.1133, 0.0000)  3 Na 2.85-3.03, 6 Sb 2.92-3.15
Na (0.8867, 0.6133, 0.0000)  3 Na 2.85-3.03, 6 Sb 2.92-3.15
Sb (0.1884, 0.6884, 0.5000)  6 Na 2.92-3.15, 2 Sb 3.03
Sb (0.3116, 0.1884, 0.5000)  6 Na 2.92-3.15, 2 Sb 3.03
Sb (0.6884, 0.8116, 0.5000)  6 Na 2.92-3.15, 2 Sb 3.03
Sb (0.8116, 0.3116, 0.5000)  6 Na 2.92-3.15, 2 Sb 3.03
Au (0.0000, 0.0000, 0.0000)  2 Au 3.03
Au (0.5000, 0.5000, 0.0000)  2 Au 3.03

- Space-group type: P4/mbm (127)
- Density: 6.75 g/cm3
- Relative energy among the computed polymorphs: 0.478 eV per atom
- Total DFT energy (no corrections): -303.54 eV per cell

[3]
Here is a crystal of La2MgAl relaxed with PBEsol from Alexandria. Energies are from meta-GGA SCAN.

Cell: 3.7704 3.7704 7.8896 Å, 90.00 90.00 90.00°
With the nearest neighbours (Å) after each atom.
Fractional coordinates of all 4 atoms:
La (0.0000, 0.0000, 0.2329)  4 Al 3.24, 4 Mg 3.40
La (0.0000, 0.0000, 0.7671)  4 Al 3.24, 4 Mg 3.40
Mg (0.5000, 0.5000, 0.5000)  8 La 3.40, 4 Mg 3.77
Al (0.5000, 0.5000, 0.0000)  8 La 3.24

- Space-group type: P4/mmm (123)
- Density: 4.87 g/cm3
- Total DFT energy (no corrections): -99.98 eV per cell

[4]
Here is a crystal of ReTcN2F relaxed with PBEsol from Alexandria. Energies are from meta-GGA SCAN.

Cell: 3.8762 3.8762 3.9150 Å, 90.00 90.00 90.00°
With the nearest neighbours (Å) after each atom.
Fractional coordinates of all 5 atoms:
Re (0.0000, 0.0000, 0.0000)  4 F 2.74, 8 N 2.75
Tc (0.5000, 0.5000, 0.5000)  4 N 1.94, 2 F 1.96
N (0.0000, 0.5000, 0.5000)  2 Tc 1.94
N (0.5000, 0.0000, 0.5000)  2 Tc 1.94
F (0.5000, 0.5000, 0.0000)  2 Tc 1.96

- Space-group type: P4/mmm (123)
- Density: 9.35 g/cm3
- Total DFT energy (no corrections): -123.51 eV per cell

[5]
Here is a crystal of HgP2Pb relaxed with PBEsol from Alexandria. Energies are from meta-GGA SCAN.

Cell: 5.5018 5.5018 5.6523 Å, 90.00 90.00 90.00°
With the nearest neighbours (Å) after each atom.
Fractional coordinates of all 8 atoms:
Hg (0.0000, 0.0000, 0.0000)  4 P 2.75, 2 Pb 2.83
Hg (0.5000, 0.5000, 0.5000)  4 P 2.75, 2 Pb 2.83
P (0.0000, 0.5000, 0.0000)  2 Pb 2.75, 2 Hg 2.75, 2 P 2.83
P (0.0000, 0.5000, 0.5000)  2 Hg 2.75, 2 Pb 2.75, 2 P 2.83
P (0.5000, 0.0000, 0.0000)  2 Pb 2.75, 2 Hg 2.75, 2 P 2.83
P (0.5000, 0.0000, 0.5000)  2 Hg 2.75, 2 Pb 2.75, 2 P 2.83
Pb (0.0000, 0.0000, 0.5000)  4 P 2.75, 2 Hg 2.83
Pb (0.5000, 0.5000, 0.0000)  4 P 2.75, 2 Hg 2.83

- Space-group type: I4/mmm (139)
- Density: 9.12 g/cm3
- Relative energy among the computed polymorphs: 0.262 eV per atom
- Total DFT energy (no corrections): -325.78 eV per cell

[6]
Here is a crystal of Nb2Zn2CoO8 relaxed with PBEsol from Alexandria. Energies are from meta-GGA SCAN.

Cell: 9.8980 9.8980 5.1751 Å, 90.62 90.62 34.53°
With the nearest neighbours (Å) after each atom.
Fractional coordinates of all 26 atoms:
Nb (0.0491, 0.7254, 0.7455)  5 O 1.87-2.05
Nb (0.2746, 0.9509, 0.7545)  5 O 1.87-2.05
Nb (0.7254, 0.0491, 0.2455)  5 O 1.87-2.05
Nb (0.9509, 0.2746, 0.2545)  5 O 1.87-2.05
Zn (0.1231, 0.4344, 0.2409)  4 O 1.95-2.10
Zn (0.4344, 0.1231, 0.7409)  4 O 1.95-2.10
Zn (0.5656, 0.8769, 0.2591)  4 O 1.95-2.10
Zn (0.8769, 0.5656, 0.7591)  4 O 1.95-2.10
Co (0.3694, 0.6306, 0.2500)  6 O 2.03-2.10
Co (0.6306, 0.3694, 0.7500)  6 O 2.03-2.10
O (0.0543, 0.8121, 0.0890)  2 Nb 1.98-2.05, 1 Co 2.10
O (0.0810, 0.2785, 0.5548)  1 Zn 1.95, 1 Nb 2.03
O (0.1652, 0.4501, 0.8716)  3 Zn 1.95-2.10, 1 Nb 2.01
O (0.1879, 0.9457, 0.4110)  2 Nb 1.98-2.05, 1 Co 2.10
O (0.2785, 0.0810, 0.0548)  1 Zn 1.95, 1 Nb 2.03
O (0.3208, 0.5658, 0.5801)  1 Nb 1.87, 2 Co 2.03
O (0.4342, 0.6792, 0.9199)  1 Nb 1.87, 2 Co 2.03
O (0.4501, 0.1652, 0.3716)  3 Zn 1.95-2.10, 1 Nb 2.01
O (0.5499, 0.8348, 0.6284)  3 Zn 1.95-2.10, 1 Nb 2.01
O (0.5658, 0.3208, 0.0801)  1 Nb 1.87, 2 Co 2.03
O (0.6792, 0.4342, 0.4199)  1 Nb 1.87, 2 Co 2.03
O (0.7215, 0.9190, 0.9452)  1 Zn 1.95, 1 Nb 2.03
O (0.8121, 0.0543, 0.5890)  2 Nb 1.98-2.05, 1 Co 2.10
O (0.8348, 0.5499, 0.1284)  3 Zn 1.95-2.10, 1 Nb 2.01
O (0.9190, 0.7215, 0.4452)  1 Zn 1.95, 1 Nb 2.03
O (0.9457, 0.1879, 0.9110)  2 Nb 1.98-2.05, 1 Co 2.10

- Space-group type: C2/c (15)
- Density: 5.82 g/cm3
- Total DFT energy (no corrections): -377.15 eV per cell

Number 1: total moment 0.0 Bohr magnetons per cell. Number 2: total moment 0.0 Bohr magnetons per cell. Number 3: total moment 0.2 Bohr magnetons per cell. Number 4: total moment 4.2 Bohr magnetons per cell. Number 5: total moment 0.0 Bohr magnetons per cell. Number 6: total moment 6.0 Bohr magnetons per cell.